1.
TlMoSe4 (GGA-PBE, relaxed); DFT total energy = -22.34 eV per cell; energy relative to the lowest polymorph listed for this composition = 1122.3 meV per atom; M_tot = 4.738 μB/f.u.; raw formation energy = 0.80 eV/atom
1.0
1.2543 -0.6645 5.6933
-4.2760 0.3316 4.0044
-1.7382 -4.8297 2.8428
Tl Mo Se
1 1 4
direct
0.7500 0.7500 0.7500
0.0000 0.0000 0.0000
0.8776 0.3741 0.3741
0.3741 0.3741 0.8776
0.3741 0.8776 0.3741
0.3741 0.3741 0.3741


2.
TlMo2Se (GGA-PBE, relaxed); DFT total energy = -24.22 eV per cell; energy relative to the lowest polymorph listed for this composition = 628.5 meV per atom; M_tot = 0.000 μB/f.u.; raw formation energy = 0.82 eV/atom
1.0
5.3109 0.0285 0.0169
-2.3218 4.6074 -0.0160
0.7772 0.8839 3.0401
Mo Se Tl
2 1 1
direct
0.0000 0.0000 0.0000
0.0000 0.5000 0.5000
0.5000 0.5000 0.0000
0.5000 0.0000 0.5000


3.
TlMo3Se (GGA-PBE, relaxed); DFT total energy = -24.80 eV per cell; energy relative to the lowest polymorph listed for this composition = 1661.5 meV per atom; M_tot = 0.001 μB/f.u.; raw formation energy = 2.71 eV/atom
1.0
5.0116 0.0000 0.0000
0.0000 5.0116 0.0000
0.0000 0.0000 5.0116
Tl Mo Se
1 3 1
direct
0.0000 0.0000 0.0000
0.0000 0.5000 0.0000
0.0000 0.0000 0.5000
0.5000 0.0000 0.0000
0.5000 0.5000 0.5000


4.
TlMo2Se (GGA-PBE, relaxed); DFT total energy = -26.49 eV per cell; energy relative to the lowest polymorph listed for this composition = 60.8 meV per atom; M_tot = 0.000 μB/f.u.; raw formation energy = 0.26 eV/atom
1.0
-1.8352 2.8980 -8.2048
-0.0156 0.2517 -8.8894
-3.2269 -0.0751 -8.2866
Mo Se Tl
2 1 1
direct
0.9861 0.9861 0.9861
0.2525 0.2525 0.2525
0.5160 0.5160 0.5160
0.7454 0.7454 0.7454